! Pm2Pr3Te6 (PBE, relaxed); values from VASP
! Magnetic moment   0.0 μB per formula unit
! Energy above the lowest structure with this stoichiometry   70 meV per atom
! SG   R-3m (166)
! Formation energy from raw total energies   -1407 meV per atom
&SYSTEM
  ibrav = 0, nat = 11, ntyp = 3
/
ATOMIC_SPECIES
Pm 145.00 Pm.upf
Pr 140.91 Pr.upf
Te 127.60 Te.upf
CELL_PARAMETERS angstrom
4.5130 0.0000 0.0000
2.2565 3.9084 0.0000
2.2565 1.3028 22.1013
ATOMIC_POSITIONS crystal
Pm 0.4482 0.4482 0.6554
Pm 0.5518 0.5518 0.3446
Pr 0.0000 0.0000 0.0000
Pr 0.2779 0.2779 0.1664
Pr 0.7221 0.7221 0.8336
Te 0.0847 0.0847 0.7460
Te 0.9153 0.9153 0.2540
Te 0.1942 0.1942 0.4175
Te 0.8058 0.8058 0.5825
Te 0.3613 0.3613 0.9162
Te 0.6387 0.6387 0.0838